# 1
A plane-wave DFT calculation with PBE was carried out for a relaxed structure of Be4CrCl.

Structure (extended XYZ):
```
6
Lattice="0.0000 3.1104 3.1104 3.1104 0.0000 3.1104 3.1104 3.1104 0.0000" Properties=species:S:1:pos:R:3 pbc="T T T"
Be 2.3642 2.3642 2.3642
Be 3.8566 3.8566 2.3642
Be 3.8566 2.3642 3.8566
Be 2.3642 3.8566 3.8566
Cr 4.6656 4.6656 4.6656
Cl 0.0000 0.0000 0.0000
```

Calculated values
Space group   F-43m, No. 216
ΔE_f (raw)   0.54 eV/atom



# 2
A plane-wave DFT calculation with PBE was carried out for a relaxed structure of Na2ReSnO6.

Structure (extended XYZ):
```
10
Lattice="5.6518 0.0000 0.0000 0.0000 5.6518 0.0000 0.0000 0.0000 3.9293" Properties=species:S:1:pos:R:3 pbc="T T T"
Na 0.0000 2.8259 0.0000
Na 2.8259 0.0000 0.0000
Re 0.0000 0.0000 1.9646
Sn 2.8259 2.8259 1.9646
O 0.0000 0.0000 0.0000
O 1.3509 1.3509 1.9646
O 1.3509 4.3009 1.9646
O 2.8259 2.8259 0.0000
O 4.3009 1.3509 1.9646
O 4.3009 4.3009 1.9646
```

Calculated values
Space group   P4/mmm, No. 123
ΔE_f (raw)   -1.59 eV/atom



# 3
A plane-wave DFT calculation with PBE was carried out for a relaxed structure of InCu2W.

Structure (extended XYZ):
```
4
Lattice="4.1904 0.0000 0.0000 0.0000 1.3980 5.2257 0.0000 -1.3980 5.2257" Properties=species:S:1:pos:R:3 pbc="T T T"
In 0.0000 0.0000 0.0000
Cu 0.0000 0.0000 2.6897
Cu 2.0952 0.0000 4.0534
W 2.0952 0.0000 6.8833
```

Calculated values
ΔH_f (0 K)   0.40 eV per atom
Space group   Amm2, No. 38



Summary of magnetic moment in μB/cell
0.0; 1.0; 0.0
(order as listed above)
Summary of mass density in g cm⁻³
3.407; 5.912; 11.547
(order as listed above)